# 1
The following is a DFT calculation (PBE) of an optimized crystal structure of CaMn2Fe.

Lattice parameters (Å, degrees): 2.9594 4.9490 9.4476 90.00 90.00 90.00
Space group Immm (No. 71)
One atom of each set of equivalent atoms:
Ca 0.0000 0.0000 0.0000 x2
Mn 0.0000 0.5000 0.2091 x4
Fe 0.0000 0.0000 0.5000 x2

Computed properties:
- Formation energy from the elements: 0.602 eV per atom
- Raw total energy: -6.60 eV per atom

---

# 2
The following is a DFT calculation (PBE) of an optimized crystal structure of LaFeSi2.

Lattice parameters (Å, degrees): 3.9490 3.9490 16.1565 90.00 90.00 120.00
Space group R-3m (No. 166, hexagonal axes)
One atom of each set of equivalent atoms:
La 0.0000 0.0000 0.0000 x3
Fe 0.0000 0.0000 0.5000 x3
Si 0.0000 0.0000 0.2032 x6

Computed properties:
- Raw formation energy: -0.624 eV per atom
- Raw total energy: -6.68 eV per atom

---

# 3
The following is a DFT calculation (PBE) of an optimized crystal structure of NaIn2Pb.

Lattice parameters (Å, degrees): 4.6070 4.6070 21.5659 90.00 90.00 120.00
Space group R3m (No. 160, hexagonal axes)
One atom of each set of equivalent atoms:
Na 0.0000 0.0000 0.0000 x3
In 0.0000 0.0000 0.4257 x3
In 0.0000 0.0000 0.5774 x3
Pb 0.0000 0.0000 0.1700 x3

Computed properties:
- Formation energy from the elements: 0.051 eV per atom
- Raw total energy: -2.58 eV per atom

---

# 4
The following is a DFT calculation (PBE) of an optimized crystal structure of Pm4PrCo2.

Lattice parameters (Å, degrees): 6.9934 6.7400 8.9520 90.00 112.92 90.00
Space group P2_1/m (No. 11)
One atom of each set of equivalent atoms:
Pm 0.0225 0.2500 0.2902 x2
Pm 0.2819 0.0000 0.0651 x4
Pm 0.3342 0.7500 0.4998 x2
Pr 0.2330 0.2500 0.7066 x2
Co 0.0391 0.7500 0.1637 x2
Co 0.3756 0.7500 0.8366 x2

Computed properties:
- Formation energy from the elements: -0.015 eV per atom
- Raw total energy: -5.44 eV per atom

---

# 5
The following is a DFT calculation (PBE) of an optimized crystal structure of PaAl12Cu4.

Lattice parameters (Å, degrees): 8.5480 8.5480 8.5480 90.00 90.00 90.00
Space group Im-3 (No. 204)
One atom of each set of equivalent atoms:
Pa 0.0000 0.0000 0.0000 x2
Al 0.0000 0.1621 0.3417 x24
Cu 0.2500 0.2500 0.2500 x8

Computed properties:
- Formation energy from the elements: 0.111 eV per atom
- Raw total energy: -4.05 eV per atom

---

# 6
The following is a DFT calculation (PBE) of an optimized crystal structure of NaCu4Ir2.

Lattice parameters (Å, degrees): 4.3730 4.3730 12.5634 90.00 90.00 90.00
Space group I4/mmm (No. 139)
One atom of each set of equivalent atoms:
Na 0.0000 0.0000 0.0000 x2
Cu 0.0000 0.0000 0.2033 x4
Cu 0.0000 0.5000 0.0000 x4
Ir 0.0000 0.0000 0.3953 x4

Computed properties:
- Formation energy from the elements: 1.105 eV per atom
- Raw total energy: -3.96 eV per atom